(1)
## Sr2HgAu (PBE)

Data for crystalline Sr2HgAu at its relaxed geometry.

Computed properties:
Total energy: -9.184 eV per cell
Space group: R3m

Lattice parameters (Å, degrees): 8.479 8.479 8.479 30.71 30.71 30.71
Positions (direct):
Sr: 0.000 0.000 0.000
Sr: 0.184 0.184 0.184
Hg: 0.425 0.425 0.425
Au: 0.592 0.592 0.592

=====

(2)
## Sr2Hg5Au (PBE)

Data for crystalline Sr2Hg5Au at its relaxed geometry.

Computed properties:
Polymorph energy (0 for the lowest one): 0.016 eV per atom
Space group: I4mm

Lattice parameters (Å, degrees): 6.860 6.860 6.860 121.51 121.51 87.40
Positions (direct):
Sr: 0.000 0.500 0.500
Sr: 0.500 0.000 0.500
Hg: 0.000 0.000 0.498
Hg: 0.000 0.501 0.000
Hg: 0.004 0.004 0.000
Hg: 0.501 0.000 0.000
Hg: 0.501 0.501 0.502
Au: 0.496 0.496 0.000